Sc2FeMo at its PBEsol-relaxed geometry. Source: Alexandria via LeMat-Bulk, functional SCAN.

Volume: 63.90 Å³/f.u.
ΔH_f (0 K): 1.33 eV per formula unit
Offset from the most stable computed form: 0.254 eV/atom
D(E_F): 7.6 states/eV/cell

Unit cell a=3.0501 b=4.7012 c=8.9130 alpha=90.00 beta=90.00 gamma=90.00
Closest atoms and distances in Å follow each position.
Space group Immm (No. 71)
Asymmetric unit:
Sc  0.0000  0.0000  0.2189 (multiplicity 4)  2 Fe 2.48
Fe  0.0000  0.5000  0.5000 (multiplicity 2)  4 Sc 2.48
Mo  0.0000  0.5000  0.0000 (multiplicity 2)  4 Fe 2.80, 8 Sc 2.93-3.05, 2 Mo 3.05